Below is HfFe2BiO6 after structural relaxation, with properties calculated at the PBE with a Hubbard U level.

Results
Symmetry: R3 (146)
Total DFT energy (no corrections) (eV/f.u.): -74.4
Total magnetic moment (μB per formula unit): 9.025

a = 5.5363 Å, b = 5.5364 Å, c = 5.7448 Å
α = 61.19°, β = 61.19°, γ = 60.00°
Last column: nearest neighbours and their distance in Å.
Atoms (fractional coordinates):
Fe 0.5242 0.5242 0.4274  3 O 2.07
Bi 0.3041 0.3041 0.0878  6 O 2.32-2.46
O 0.4060 0.7567 0.7439  1 Fe 2.02, 1 Hf 2.08
O 0.0934 0.4059 0.7439  1 Fe 2.02, 1 Hf 2.08
Hf 0.8103 0.8104 0.5689  6 O 2.08-2.14
O 0.6608 0.2077 0.2536  2 Fe 2.07-2.14, 1 Hf 2.14
O 0.2077 0.8779 0.2536  2 Fe 2.07-2.14, 1 Hf 2.14
O 0.7567 0.0934 0.7439  1 Fe 2.02, 1 Hf 2.08
O 0.8779 0.6608 0.2536  2 Fe 2.07-2.14, 1 Hf 2.14
Fe 0.0205 0.0205 0.9384  6 O 2.02-2.14